{
  "formula": "K2BaMo",
  "functional": "PBE-GGA",
  "state": "relaxed",
  "lattice_angstrom": [[-1.9848, 2.8582, 9.1204], [1.9848, -2.8582, 9.1204], [1.9848, 2.8582, -9.1204]],
  "species": ["K", "K", "Ba", "Mo"],
  "frac_coords": [[0.1724, 0.1724, 0.0000], [0.8276, 0.8276, 0.0000], [0.5000, 0.0000, 0.5000], [0.0000, 0.5000, 0.5000]],
  "ef_ev_per_atom": 1.04,
  "crystal_system": "orthorhombic",
  "n_ef_per_ev_cell": 5.95,
  "polymorph_energy_mev_per_atom": 62
}